# LuRh

An optimized crystal structure of LuRh (PBEsol, Alexandria).

CIF file:
```
data_LuRh
_symmetry_space_group_name_H-M 'P m -3 m'
_symmetry_Int_Tables_number 221
_symmetry_space_group_name_Hall '-P 4 2 3'
_cell_length_a 3.296
_cell_length_b 3.296
_cell_length_c 3.296
_cell_angle_alpha 90.00
_cell_angle_beta 90.00
_cell_angle_gamma 90.00
loop_
_atom_site_label
_atom_site_type_symbol
_atom_site_fract_x
_atom_site_fract_y
_atom_site_fract_z
Lu1 Lu 0.000 0.000 0.000
Rh1 Rh 0.500 0.500 0.500
```

Formation energy = -0.990 eV/atom
Electronic total energy = -15.0 eV/f.u.

# Lu2RuRh

An optimized crystal structure of Lu2RuRh (PBEsol, Alexandria).

CIF file:
```
data_Lu2RuRh
_symmetry_space_group_name_H-M 'F m -3 m'
_symmetry_Int_Tables_number 225
_symmetry_space_group_name_Hall '-F 4 2 3'
_cell_length_a 6.563
_cell_length_b 6.563
_cell_length_c 6.563
_cell_angle_alpha 90.00
_cell_angle_beta 90.00
_cell_angle_gamma 90.00
loop_
_atom_site_label
_atom_site_type_symbol
_atom_site_fract_x
_atom_site_fract_y
_atom_site_fract_z
Lu1 Lu 0.250 0.250 0.250
Ru1 Ru 0.000 0.000 0.000
Rh1 Rh 0.000 0.000 0.500
```

Formation energy = -0.736 eV/atom
Electronic total energy = -31.0 eV/f.u.

# LuScRh2

An optimized crystal structure of LuScRh2 (PBEsol, Alexandria).

CIF file:
```
data_LuScRh2
_symmetry_space_group_name_H-M 'F m -3 m'
_symmetry_Int_Tables_number 225
_symmetry_space_group_name_Hall '-F 4 2 3'
_cell_length_a 6.483
_cell_length_b 6.483
_cell_length_c 6.483
_cell_angle_alpha 90.00
_cell_angle_beta 90.00
_cell_angle_gamma 90.00
loop_
_atom_site_label
_atom_site_type_symbol
_atom_site_fract_x
_atom_site_fract_y
_atom_site_fract_z
Lu1 Lu 0.000 0.000 0.000
Sc1 Sc 0.000 0.000 0.500
Rh1 Rh 0.250 0.250 0.250
```

Formation energy = -0.982 eV/atom
Electronic total energy = -31.7 eV/f.u.